Here is a PBEsol-optimized structure of SrMn4Si from Alexandria via LeMat-Bulk. Energies are from SCAN.

Cell: 4.874 4.874 4.874 Å, 60.00 60.00 60.00°
Atoms (fractional coordinates):
Sr  0.000  0.000  0.000
Mn  0.378  0.378  0.378
Mn  0.378  0.378  0.865
Mn  0.378  0.865  0.378
Mn  0.865  0.378  0.378
Si  0.750  0.750  0.750

Results
* magnetization: 10.338 μB per formula unit
* space-group type: F-43m, No. 216
* N(E_F): 0.805 states/eV/atom
* E: -16.96 eV/atom